Entry 1:
# ZrGa3W

A geometry-optimized ZrGa3W structure (PBE-GGA, the Alexandria database).

```
ZrGa3W
1.0
4.793 0.000 0.000
0.000 4.793 0.000
0.000 0.000 4.793
Zr W Ga
1 1 3
Direct
0.500 0.500 0.500 Zr
0.000 0.000 0.000 W
0.000 0.000 0.500 Ga
0.500 0.000 0.000 Ga
0.000 0.500 0.000 Ga
```

## Properties
Crystal system ... cubic
Energy above the most stable polymorph in this dataset ... 0 meV/atom
DOS(E_F) ... 3.62 states/eV/f.u.

=====

Entry 2:
# Ti6Rh3N

A geometry-optimized Ti6Rh3N structure (PBE-GGA, the Alexandria database).

```
Ti6Rh3N
1.0
-1.815 2.612 4.245
-6.487 -2.343 -1.332
1.342 -6.473 4.852
Ti Rh N
12 6 2
Direct
0.333 0.858 0.042 Ti
0.655 0.247 0.585 Ti
0.159 0.075 0.769 Ti
0.841 0.925 0.231 Ti
0.341 0.575 0.731 Ti
0.833 0.642 0.542 Ti
0.845 0.747 0.915 Ti
0.659 0.425 0.269 Ti
0.167 0.358 0.458 Ti
0.345 0.753 0.415 Ti
0.155 0.253 0.085 Ti
0.667 0.142 0.958 Ti
0.584 0.913 0.707 Rh
0.416 0.087 0.293 Rh
0.916 0.413 0.793 Rh
0.084 0.587 0.207 Rh
0.000 0.000 0.500 Rh
0.500 0.500 0.000 Rh
0.000 0.000 0.000 N
0.500 0.500 0.500 N
```

## Properties
Crystal system ... monoclinic
E_form (uncorrected) ... -0.695 eV/atom
DOS(E_F) ... 8.50 states/eV/f.u.

=====

Entry 3:
# Zr2ReAu

A geometry-optimized Zr2ReAu structure (PBE-GGA, the Alexandria database).

```
Zr2ReAu
1.0
8.829 0.013 0.008
8.216 3.232 0.008
8.216 1.564 2.828
Zr Au Re
2 1 1
Direct
0.005 0.005 0.005 Zr
0.495 0.495 0.495 Zr
0.250 0.250 0.250 Au
0.750 0.750 0.750 Re
```

## Properties
Crystal system ... trigonal
Energy above the most stable polymorph in this dataset ... 322 meV/atom
DOS(E_F) ... 4.90 states/eV/f.u.

=====

Entry 4:
# FeCuPd3

A geometry-optimized FeCuPd3 structure (PBE-GGA, the Alexandria database).

```
FeCuPd3
1.0
2.741 0.000 -0.600
-1.041 5.369 1.804
0.905 4.234 10.690
Pd Fe Cu
6 2 2
Direct
0.289 0.006 0.656 Pd
0.104 0.034 0.257 Pd
0.207 0.540 0.957 Pd
0.393 0.512 0.357 Pd
0.007 0.532 0.566 Pd
0.489 0.014 0.047 Pd
0.595 0.505 0.769 Fe
0.901 0.041 0.845 Fe
0.798 0.520 0.160 Cu
0.698 0.026 0.453 Cu
```

## Properties
Crystal system ... monoclinic
Energy above the most stable polymorph in this dataset ... 0 meV/atom
DOS(E_F) ... 3.91 states/eV/f.u.

=====

Entry 5:
# DyPuSn2

A geometry-optimized DyPuSn2 structure (PBE-GGA, the Alexandria database).

```
DyPuSn2
1.0
-0.611 4.338 -0.877
-4.690 -0.419 1.196
1.079 1.085 4.611
Pu Dy Sn
1 1 2
Direct
0.500 0.000 0.000 Pu
0.500 0.500 0.500 Dy
0.000 0.000 0.500 Sn
0.000 0.500 0.000 Sn
```

## Properties
Total DFT energy (no corrections) ... -7.22 eV/atom
Crystal system ... tetragonal
DOS(E_F) ... 10.44 states/eV/f.u.